Compound: BaLi2PdS
Source: the Alexandria database
Functional: GGA-PBE
Structure: optimized geometry

Lattice parameters (Å, degrees): 4.642 4.642 5.336 90.00 90.00 90.00
Fractional coordinates of all 5 atoms:
Ba  0.000  0.000  0.000
Li  0.000  0.500  0.500
Li  0.500  0.000  0.500
Pd  0.500  0.500  0.000
S  0.500  0.500  0.500

Summary:
Formation energy without anion corrections ... -52.5 kJ per mole of atoms
Magnetization ... 0.56 μB/f.u.